[1]
# BaFe2Te (PBE, relaxed)
data_BaFe2Te
_symmetry_space_group_name_H-M 'P m m m'
_symmetry_Int_Tables_number 47
_symmetry_space_group_name_Hall '-P 2 2'
_cell_length_a 4.3657
_cell_length_b 4.6524
_cell_length_c 4.8863
_cell_angle_alpha 90.00
_cell_angle_beta 90.00
_cell_angle_gamma 90.00
loop_
_atom_site_label
_atom_site_fract_x
_atom_site_fract_y
_atom_site_fract_z
Ba1 0.0000 0.0000 0.0000
Fe1 0.0000 0.5000 0.5000
Fe2 0.5000 0.5000 0.0000
Te1 0.5000 0.0000 0.5000
# * DOS(E_F): 6.3 states/eV per cell
# * total magnetic moment: 1.520 μB per atom
# * ΔE_f (raw): 0.61 eV per atom

[2]
# BaFe2Te (PBE, relaxed)
data_BaFe2Te
_symmetry_space_group_name_H-M 'P 1 m 1'
_symmetry_Int_Tables_number 6
_symmetry_space_group_name_Hall 'P -2y'
_cell_length_a 4.8401
_cell_length_b 4.2315
_cell_length_c 5.3367
_cell_angle_alpha 90.00
_cell_angle_beta 102.32
_cell_angle_gamma 90.00
loop_
_atom_site_label
_atom_site_fract_x
_atom_site_fract_y
_atom_site_fract_z
Ba1 0.0000 0.0000 0.0000
Fe1 0.2274 0.5000 0.5711
Fe2 0.4429 0.0000 0.5408
Te1 0.7008 0.5000 0.4272
# * DOS(E_F): 4.7 states/eV per cell
# * total magnetic moment: 1.010 μB per atom
# * ΔE_f (raw): 0.14 eV per atom

[3]
# Ba3FeTe (PBE, relaxed)
data_Ba3FeTe
_symmetry_space_group_name_H-M 'P m -3 m'
_symmetry_Int_Tables_number 221
_symmetry_space_group_name_Hall '-P 4 2 3'
_cell_length_a 5.7271
_cell_length_b 5.7271
_cell_length_c 5.7271
_cell_angle_alpha 90.00
_cell_angle_beta 90.00
_cell_angle_gamma 90.00
loop_
_atom_site_label
_atom_site_fract_x
_atom_site_fract_y
_atom_site_fract_z
Ba1 0.0000 0.0000 0.5000
Fe1 0.0000 0.0000 0.0000
Te1 0.5000 0.5000 0.5000
# * DOS(E_F): 3.2 states/eV per cell
# * distance to the lowest polymorph of the same formula: 0 meV per atom
# * total magnetic moment: 0.106 μB per atom
# * ΔE_f (raw): -0.18 eV per atom

[4]
# Ba2FeTe (PBE, relaxed)
data_Ba2FeTe
_symmetry_space_group_name_H-M 'I m m 2'
_symmetry_Int_Tables_number 44
_symmetry_space_group_name_Hall 'I 2 -2'
_cell_length_a 4.1778
_cell_length_b 5.1176
_cell_length_c 12.8921
_cell_angle_alpha 90.00
_cell_angle_beta 90.00
_cell_angle_gamma 90.00
loop_
_atom_site_label
_atom_site_fract_x
_atom_site_fract_y
_atom_site_fract_z
Ba1 0.0000 0.0000 0.0000
Ba2 0.0000 0.5000 0.2180
Fe1 0.0000 0.5000 0.7639
Te1 0.0000 0.0000 0.4057
# * DOS(E_F): 10.8 states/eV per cell
# * total magnetic moment: 0.532 μB per atom
# * ΔE_f (raw): -0.24 eV per atom

[5]
# Ba2FeTe (PBE, relaxed)
data_Ba2FeTe
_symmetry_space_group_name_H-M 'P 1 2/m 1'
_symmetry_Int_Tables_number 10
_symmetry_space_group_name_Hall '-P 2y'
_cell_length_a 4.2413
_cell_length_b 4.2283
_cell_length_c 8.0780
_cell_angle_alpha 90.00
_cell_angle_beta 92.81
_cell_angle_gamma 90.00
loop_
_atom_site_label
_atom_site_fract_x
_atom_site_fract_y
_atom_site_fract_z
Ba1 0.0201 0.0000 0.2509
Fe1 0.5000 0.5000 0.5000
Te1 0.5000 0.5000 0.0000
# * DOS(E_F): 3.9 states/eV per cell
# * total magnetic moment: 0.569 μB per atom
# * ΔE_f (raw): -0.28 eV per atom

[6]
# BaFeTe (PBE, relaxed)
data_BaFeTe
_symmetry_space_group_name_H-M 'I 4 m m'
_symmetry_Int_Tables_number 107
_symmetry_space_group_name_Hall 'I 4 -2'
_cell_length_a 3.7970
_cell_length_b 3.7970
_cell_length_c 11.8705
_cell_angle_alpha 90.00
_cell_angle_beta 90.00
_cell_angle_gamma 90.00
loop_
_atom_site_label
_atom_site_fract_x
_atom_site_fract_y
_atom_site_fract_z
Ba1 0.0000 0.0000 0.0000
Fe1 0.0000 0.0000 0.7072
Te1 0.0000 0.0000 0.2841
# * DOS(E_F): 8.3 states/eV per cell
# * distance to the lowest polymorph of the same formula: 357 meV per atom
# * total magnetic moment: 0.883 μB per atom
# * ΔE_f (raw): -0.04 eV per atom

[7]
# BaFe2Te (PBE, relaxed)
data_BaFe2Te
_symmetry_space_group_name_H-M 'R -3 m'
_symmetry_Int_Tables_number 166
_symmetry_space_group_name_Hall '-R 3 2"'
_cell_length_a 4.4348
_cell_length_b 4.4348
_cell_length_c 17.3951
_cell_angle_alpha 90.00
_cell_angle_beta 90.00
_cell_angle_gamma 120.00
loop_
_atom_site_label
_atom_site_fract_x
_atom_site_fract_y
_atom_site_fract_z
Ba1 0.0000 0.0000 0.0000
Fe1 0.0000 0.0000 0.1787
Te1 0.0000 0.0000 0.5000
# * DOS(E_F): 5.0 states/eV per cell
# * total magnetic moment: 0.908 μB per atom
# * ΔE_f (raw): -0.01 eV per atom

[8]
# Ba2FeTe (PBE, relaxed)
data_Ba2FeTe
_symmetry_space_group_name_H-M 'F -4 3 m'
_symmetry_Int_Tables_number 216
_symmetry_space_group_name_Hall 'F -4 2 3'
_cell_length_a 8.0926
_cell_length_b 8.0926
_cell_length_c 8.0926
_cell_angle_alpha 90.00
_cell_angle_beta 90.00
_cell_angle_gamma 90.00
loop_
_atom_site_label
_atom_site_fract_x
_atom_site_fract_y
_atom_site_fract_z
Ba1 0.0000 0.0000 0.0000
Ba2 0.2500 0.2500 0.2500
Fe1 0.0000 0.0000 0.5000
Te1 0.2500 0.2500 0.7500
# * DOS(E_F): 27.3 states/eV per cell
# * total magnetic moment: 0.533 μB per atom
# * ΔE_f (raw): 0.16 eV per atom

[9]
# BaFeTe3 (PBE, relaxed)
data_BaFeTe3
_symmetry_space_group_name_H-M 'P m -3 m'
_symmetry_Int_Tables_number 221
_symmetry_space_group_name_Hall '-P 4 2 3'
_cell_length_a 5.2586
_cell_length_b 5.2586
_cell_length_c 5.2586
_cell_angle_alpha 90.00
_cell_angle_beta 90.00
_cell_angle_gamma 90.00
loop_
_atom_site_label
_atom_site_fract_x
_atom_site_fract_y
_atom_site_fract_z
Ba1 0.0000 0.0000 0.0000
Fe1 0.5000 0.5000 0.5000
Te1 0.0000 0.5000 0.5000
# * DOS(E_F): 10.3 states/eV per cell
# * distance to the lowest polymorph of the same formula: 0 meV per atom
# * total magnetic moment: 0.000 μB per atom
# * ΔE_f (raw): -0.37 eV per atom

[10]
# BaFe2Te (PBE, relaxed)
data_BaFe2Te
_symmetry_space_group_name_H-M 'P 4/m m m'
_symmetry_Int_Tables_number 123
_symmetry_space_group_name_Hall '-P 4 2'
_cell_length_a 3.7895
_cell_length_b 3.7895
_cell_length_c 6.9231
_cell_angle_alpha 90.00
_cell_angle_beta 90.00
_cell_angle_gamma 90.00
loop_
_atom_site_label
_atom_site_fract_x
_atom_site_fract_y
_atom_site_fract_z
Ba1 0.0000 0.0000 0.0000
Fe1 0.5000 0.5000 0.3372
Te1 0.0000 0.0000 0.5000
# * DOS(E_F): 4.6 states/eV per cell
# * total magnetic moment: 1.502 μB per atom
# * ΔE_f (raw): 0.41 eV per atom

[11]
# BaTh2Fe (PBE, relaxed)
data_BaTh2Fe
_symmetry_space_group_name_H-M 'R -3 m'
_symmetry_Int_Tables_number 166
_symmetry_space_group_name_Hall '-R 3 2"'
_cell_length_a 3.9537
_cell_length_b 3.9537
_cell_length_c 32.1688
_cell_angle_alpha 90.00
_cell_angle_beta 90.00
_cell_angle_gamma 120.00
loop_
_atom_site_label
_atom_site_fract_x
_atom_site_fract_y
_atom_site_fract_z
Ba1 0.0000 0.0000 0.0000
Th1 0.0000 0.0000 0.1221
Fe1 0.0000 0.0000 0.5000
# * DOS(E_F): 15.2 states/eV per cell
# * total magnetic moment: 0.000 μB per atom
# * ΔE_f: 0.15 eV/atom

[12]
# BaTiFe3 (PBE, relaxed)
data_BaTiFe3
_symmetry_space_group_name_H-M 'P m -3 m'
_symmetry_Int_Tables_number 221
_symmetry_space_group_name_Hall '-P 4 2 3'
_cell_length_a 4.7657
_cell_length_b 4.7657
_cell_length_c 4.7657
_cell_angle_alpha 90.00
_cell_angle_beta 90.00
_cell_angle_gamma 90.00
loop_
_atom_site_label
_atom_site_fract_x
_atom_site_fract_y
_atom_site_fract_z
Ba1 0.0000 0.0000 0.0000
Ti1 0.5000 0.5000 0.5000
Fe1 0.0000 0.5000 0.5000
# * DOS(E_F): 4.9 states/eV per cell
# * distance to the lowest polymorph of the same formula: 0 meV per atom
# * total magnetic moment: 1.228 μB per atom
# * ΔE_f: 0.86 eV/atom